Entry 1:
The following is a DFT calculation (meta-GGA SCAN) of TlMoN2O at its PBEsol-relaxed geometry.

a b c (Å): 4.090 4.147 4.147
angles (deg): 90.00 90.00 90.00
Site moments in Bohr magnetons follow the coordinates.
Positions (direct):
Tl 0.000 0.000 0.000  -0.02
Mo 0.500 0.500 0.500  3.47
O 0.500 0.000 0.000  -0.18
N 0.000 0.000 0.500  -0.61
N 0.000 0.500 0.000  -0.61

Values from the calculation:
Spin magnetization = 1.907 μB/f.u.
Total DFT energy (no corrections) = -24.540 eV/atom
D(E_F) = 2.6 states/eV/cell
SG = P4/mmm, No. 123

Entry 2:
The following is a DFT calculation (meta-GGA SCAN) of Hf2InTeO at its PBEsol-relaxed geometry.

a b c (Å): 5.185 5.185 5.475
angles (deg): 90.00 90.00 90.00
Site moments in Bohr magnetons follow the coordinates.
Positions (direct):
Te 0.000 0.000 0.000  0.00
Hf 0.000 0.500 0.000  0.35
Hf 0.500 0.000 0.000  0.35
O 0.500 0.500 0.500  0.99
In 0.000 0.000 0.500  0.03

Values from the calculation:
Spin magnetization = 2.161 μB/f.u.
Total DFT energy (no corrections) = -38.907 eV/atom
D(E_F) = 5.3 states/eV/cell
SG = P4/mmm, No. 123

Entry 3:
The following is a DFT calculation (meta-GGA SCAN) of Be3Au at its PBEsol-relaxed geometry.

a b c (Å): 3.995 4.255 4.898
angles (deg): 90.00 90.00 90.00
Positions (direct):
Be 0.500 0.664 0.000
Be 0.000 0.336 0.500
Be 0.000 0.835 0.752
Be 0.000 0.835 0.248
Be 0.500 0.165 0.252
Be 0.500 0.165 0.748
Au 0.000 0.326 0.000
Au 0.500 0.674 0.500

Values from the calculation:
Spin magnetization = 0.000 μB/f.u.
D(E_F) = 1.7 states/eV/cell
SG = Pmmn, No. 59
E_form = -0.270 eV per atom

Entry 4:
The following is a DFT calculation (meta-GGA SCAN) of YBe3Ru at its PBEsol-relaxed geometry.

a b c (Å): 4.206 4.206 4.206
angles (deg): 90.00 90.00 90.00
Positions (direct):
Y 0.500 0.500 0.500
Ru 0.000 0.000 0.000
Be 0.000 0.500 0.000
Be 0.000 0.000 0.500
Be 0.500 0.000 0.000

Values from the calculation:
Spin magnetization = 0.000 μB/f.u.
D(E_F) = 2.2 states/eV/cell
SG = Pm-3m, No. 221
E_form = -0.198 eV per atom

Entry 5:
The following is a DFT calculation (meta-GGA SCAN) of BaAgW at its PBEsol-relaxed geometry.

a b c (Å): 3.033 3.033 8.166
angles (deg): 90.00 90.00 120.00
Positions (direct):
Ag 0.000 0.000 0.031
Ba 0.667 0.333 0.665
W 0.333 0.667 0.304

Values from the calculation:
Spin magnetization = 0.000 μB/f.u.
D(E_F) = 3.0 states/eV/cell
SG = P3m1, No. 156
E_form = 1.359 eV per atom

Entry 6:
The following is a DFT calculation (meta-GGA SCAN) of MnReP2 at its PBEsol-relaxed geometry.

a b c (Å): 4.177 4.177 4.177
angles (deg): 60.00 60.00 60.00
Site moments in Bohr magnetons follow the coordinates.
Positions (direct):
Mn 0.500 0.500 0.500  2.90
P 0.000 0.000 0.000  0.06
P 0.750 0.750 0.750  0.01
Re 0.250 0.250 0.250  0.06

Values from the calculation:
Spin magnetization = 3.130 μB/f.u.
D(E_F) = 1.9 states/eV/cell
SG = F-43m, No. 216
E_form = 0.414 eV per atom

Entry 7:
The following is a DFT calculation (meta-GGA SCAN) of BeTlP2 at its PBEsol-relaxed geometry.

a b c (Å): 3.237 5.085 5.085
angles (deg): 69.12 71.44 71.44
Positions (direct):
P 0.011 0.989 0.989
P 0.305 0.195 0.195
Tl 0.484 0.516 0.516
Be 0.700 0.800 0.800

Values from the calculation:
Spin magnetization = 0.000 μB/f.u.
D(E_F) = 1.7 states/eV/cell
SG = Imm2, No. 44
E_form = 0.570 eV per atom

Entry 8:
The following is a DFT calculation (meta-GGA SCAN) of KAu at its PBEsol-relaxed geometry.

a b c (Å): 4.049 4.461 4.461
angles (deg): 120.00 90.00 90.00
Positions (direct):
K 0.500 0.333 0.667
Au 0.000 0.000 0.000

Values from the calculation:
Spin magnetization = 0.000 μB/f.u.
D(E_F) = 0.0 states/eV/cell
SG = P-6m2, No. 187
E_form = -0.304 eV per atom

Entry 9:
The following is a DFT calculation (meta-GGA SCAN) of AgHgAs3 at its PBEsol-relaxed geometry.

a b c (Å): 4.947 4.947 4.947
angles (deg): 90.00 90.00 90.00
Positions (direct):
As 0.000 0.500 0.000
As 0.000 0.000 0.500
As 0.500 0.000 0.000
Hg 0.500 0.500 0.500
Ag 0.000 0.000 0.000

Values from the calculation:
Spin magnetization = 0.001 μB/f.u.
D(E_F) = 4.1 states/eV/cell
SG = Pm-3m, No. 221
E_form = 0.952 eV per atom

Entry 10:
The following is a DFT calculation (meta-GGA SCAN) of CaCoH3 at its PBEsol-relaxed geometry.

a b c (Å): 3.438 3.438 3.438
angles (deg): 90.00 90.00 90.00
Site moments in Bohr magnetons follow the coordinates.
Positions (direct):
H 0.000 0.500 0.000  0.00
H 0.000 0.000 0.500  0.00
H 0.500 0.000 0.000  0.00
Ca 0.500 0.500 0.500  0.06
Co 0.000 0.000 0.000  1.54

Values from the calculation:
Spin magnetization = 1.719 μB/f.u.
Total DFT energy (no corrections) = -7.938 eV/atom
D(E_F) = 1.5 states/eV/cell
SG = Pm-3m, No. 221

Entry 11:
The following is a DFT calculation (meta-GGA SCAN) of ZrVFe at its PBEsol-relaxed geometry.

a b c (Å): 4.948 4.948 8.190
angles (deg): 90.00 90.00 118.73
Site moments in Bohr magnetons follow the coordinates.
Positions (direct):
Zr 0.332 0.668 0.816  -0.30
Zr 0.665 0.335 0.699  -0.24
Zr 0.665 0.335 0.301  -0.24
Zr 0.332 0.668 0.184  -0.30
V 0.841 0.159 0.000  -1.34
V 0.663 0.834 0.500  -0.19
V 0.166 0.337 0.500  -0.19
V 0.166 0.834 0.500  -0.31
Fe 0.999 0.001 0.752  1.80
Fe 0.999 0.001 0.248  1.80
Fe 0.339 0.165 0.000  2.08
Fe 0.835 0.661 0.000  2.08

Values from the calculation:
Spin magnetization = 0.893 μB/f.u.
D(E_F) = 10.8 states/eV/cell
SG = Amm2, No. 38
E_form = -0.125 eV per atom

Entry 12:
The following is a DFT calculation (meta-GGA SCAN) of KYTl2 at its PBEsol-relaxed geometry.

a b c (Å): 3.559 5.671 5.671
angles (deg): 90.08 90.00 90.00
Positions (direct):
K 0.500 0.000 0.000
Tl 0.000 0.000 0.500
Tl 0.000 0.500 0.000
Y 0.500 0.500 0.500

Values from the calculation:
Spin magnetization = 0.000 μB/f.u.
D(E_F) = 2.4 states/eV/cell
SG = Cmmm, No. 65
E_form = -0.324 eV per atom